{
  "formula": "Ag2TeBr",
  "functional": "PBE-GGA",
  "state": "relaxed",
  "relative_energy_mev_per_atom": 24.9,
  "e_form_raw_mev_per_atom": -107,
  "lattice_angstrom": [[3.8032, -0.0222, 0.0000], [0.0238, 3.8034, 0.0000], [0.0000, 0.0000, 7.4732]],
  "species": ["Ag", "Ag", "Te", "Br"],
  "fractional_positions": [[0.0000, 0.0000, 0.0097], [0.5000, 0.5000, 0.2333], [0.5000, 0.5000, 0.8588], [0.0000, 0.0000, 0.3982]]
}

***

{
  "formula": "Ag2TeBr",
  "functional": "PBE-GGA",
  "state": "relaxed",
  "relative_energy_mev_per_atom": 15.7,
  "e_form_raw_mev_per_atom": -116,
  "lattice_angstrom": [[-0.1205, -1.1837, -4.3799], [-2.9189, -1.8675, 0.5850], [-3.8910, 5.6994, -1.4332]],
  "species": ["Ag", "Ag", "Te", "Br"],
  "fractional_positions": [[0.0000, 0.8739, 0.0705], [0.5000, 0.3752, 0.1789], [0.5000, 0.8724, 0.8432], [0.0000, 0.3786, 0.4074]]
}

***

{
  "formula": "Ag3Te2Br2",
  "functional": "PBE-GGA",
  "state": "relaxed",
  "e_form_raw_mev_per_atom": -180,
  "lattice_angstrom": [[-3.4631, 1.1768, -1.7765], [-0.6122, -6.1830, -2.9024], [-1.7447, -0.2658, 7.8784]],
  "species": ["Ag", "Ag", "Ag", "Te", "Te", "Br", "Br"],
  "fractional_positions": [[0.6910, 0.1548, 0.3819], [0.0000, 0.5000, 0.0000], [0.3090, 0.8452, 0.6181], [0.9285, 0.8104, 0.8570], [0.0715, 0.1896, 0.1430], [0.3314, 0.2767, 0.6628], [0.6686, 0.7233, 0.3372]]
}

***

Repeat the first record exactly.
{
  "formula": "Ag2TeBr",
  "functional": "PBE-GGA",
  "state": "relaxed",
  "relative_energy_mev_per_atom": 24.9,
  "e_form_raw_mev_per_atom": -107,
  "lattice_angstrom": [[3.8032, -0.0222, 0.0000], [0.0238, 3.8034, 0.0000], [0.0000, 0.0000, 7.4732]],
  "species": ["Ag", "Ag", "Te", "Br"],
  "fractional_positions": [[0.0000, 0.0000, 0.0097], [0.5000, 0.5000, 0.2333], [0.5000, 0.5000, 0.8588], [0.0000, 0.0000, 0.3982]]
}